(1)
{"formula": "RbSeBr3", "functional": "PBE-GGA", "state": "relaxed", "lattice_angstrom": [[10.1049, 0.0000, 0.0000], [0.0000, 7.2835, 0.0000], [-1.1764, 0.0000, 10.9130]], "species": ["Rb", "Rb", "Rb", "Rb", "Se", "Se", "Se", "Se", "Br", "Br", "Br", "Br", "Br", "Br", "Br", "Br", "Br", "Br", "Br", "Br"], "frac_coords": [[0.1053, 0.2494, 0.1298], [0.1053, 0.2506, 0.6298], [0.8947, 0.7494, 0.3702], [0.8947, 0.7506, 0.8702], [0.4667, 0.1216, 0.4251], [0.4667, 0.3784, 0.9251], [0.5333, 0.6216, 0.0749], [0.5333, 0.8784, 0.5749], [0.1052, 0.7348, 0.1424], [0.1052, 0.7652, 0.6424], [0.3107, 0.5761, 0.8023], [0.3107, 0.9239, 0.3023], [0.3200, 0.0946, 0.9042], [0.3200, 0.4054, 0.4042], [0.6800, 0.5946, 0.5958], [0.6800, 0.9054, 0.0958], [0.6893, 0.0761, 0.6977], [0.6893, 0.4239, 0.1977], [0.8948, 0.2348, 0.3576], [0.8948, 0.2652, 0.8576]], "formation_energy_uncorrected_ev_per_atom": -0.72, "energy_ev_per_atom": -2.62, "rho_g_cm3": 3.3}

(2)
{"formula": "YCd2", "functional": "PBE-GGA", "state": "relaxed", "lattice_angstrom": [[-2.3117, 2.3117, 14.0374], [2.3117, -2.3117, 14.0374], [2.3117, 2.3117, -14.0374]], "species": ["Y", "Y", "Y", "Y", "Cd", "Cd", "Cd", "Cd", "Cd", "Cd", "Cd", "Cd"], "frac_coords": [[0.2950, 0.5450, 0.7500], [0.4550, 0.7050, 0.7500], [0.5450, 0.2950, 0.2500], [0.7050, 0.4550, 0.2500], [0.0402, 0.7902, 0.2500], [0.1259, 0.3759, 0.7500], [0.2098, 0.9598, 0.2500], [0.3759, 0.1259, 0.2500], [0.6241, 0.8741, 0.7500], [0.7902, 0.0402, 0.7500], [0.8741, 0.6241, 0.2500], [0.9598, 0.2098, 0.7500]], "energy_ev_per_atom": -3.01, "ef_ev_per_atom": -0.245, "rho_g_cm3": 6.9}